## OsBr3Cl (SCAN)

Data for a crystal of OsBr3Cl relaxed with PBEsol.

Cell: 4.9272 4.9272 4.9272 Å, 90.00 90.00 90.00°
Space group Pm-3m (No. 221)
Unique sites:
Os 0.0000 0.0000 0.0000 (multiplicity 1)
Br 0.0000 0.0000 0.5000 (multiplicity 3)
Cl 0.5000 0.5000 0.5000 (multiplicity 1)


## OsBrCl3 (SCAN)

Data for a crystal of OsBrCl3 relaxed with PBEsol.

Cell: 5.1476 5.1476 5.1476 Å, 90.00 90.00 90.00°
Space group Pm-3m (No. 221)
Unique sites:
Os 0.0000 0.0000 0.0000 (multiplicity 1)
Br 0.5000 0.5000 0.5000 (multiplicity 1)
Cl 0.0000 0.5000 0.5000 (multiplicity 3)


no.,E_form (uncorrected) (kJ/mol of formula units),total magnetic moment (μB/cell)
1,228.1,2.102
2,745.9,5.022